(1)
Entry from Alexandria: an optimized crystal structure of Li3CoNi (GGA-PBEsol).

a = 4.2613 Å, b = 4.2613 Å, c = 4.2613 Å
α = 90.00°, β = 90.00°, γ = 90.00°
With the nearest neighbours (Å) after each atom.
Atoms (fractional coordinates):
Li 0.0000 0.0000 0.5000  2 Ni 2.13
Li 0.0000 0.5000 0.0000  2 Ni 2.13
Li 0.5000 0.0000 0.0000  2 Ni 2.13
Co 0.5000 0.5000 0.5000  12 Li 3.01
Ni 0.0000 0.0000 0.0000  6 Li 2.13

Its space group is Pm-3m, No. 221. As for the calculated formation energy: 0.929 eV per atom. As for the total energy: -0.1114 Ha/atom.

=====

(2)
Entry from Alexandria: an optimized crystal structure of LiCoNi3 (GGA-PBEsol).

a = 3.7767 Å, b = 3.7767 Å, c = 3.7767 Å
α = 90.00°, β = 90.00°, γ = 90.00°
With the nearest neighbours (Å) after each atom.
Atoms (fractional coordinates):
Li 0.0000 0.0000 0.0000  6 Ni 1.89
Co 0.5000 0.5000 0.5000  12 Ni 2.67
Ni 0.0000 0.0000 0.5000  2 Li 1.89
Ni 0.0000 0.5000 0.0000  2 Li 1.89
Ni 0.5000 0.0000 0.0000  2 Li 1.89

Its space group is Pm-3m, No. 221. As for the calculated formation energy: 0.921 eV per atom. As for the total energy: -0.1732 Ha/atom.

=====

(3)
Entry from Alexandria: an optimized crystal structure of LiCo2Ni (GGA-PBEsol).

a = 2.3689 Å, b = 3.9503 Å, c = 4.5655 Å
α = 90.00°, β = 101.62°, γ = 90.00°
With the nearest neighbours (Å) after each atom.
Atoms (fractional coordinates):
Li 0.0000 0.0000 0.0000  2 Ni 2.35, 2 Li 2.37, 4 Co 2.40
Co 0.2356 0.5000 0.7507  4 Co 2.34-2.37, 2 Li 2.40, 2 Ni 2.43
Co 0.7644 0.5000 0.2493  4 Co 2.34-2.37, 2 Li 2.40, 2 Ni 2.43
Ni 0.5000 0.0000 0.5000  2 Li 2.35, 2 Ni 2.37, 4 Co 2.43

Its space group is P2/m, No. 10. As for the calculated formation energy: 0.139 eV per atom. As for the total energy: -0.2117 Ha/atom.

=====

Which value of calculated formation energy does entry 1 give? 0.929 eV per atom

=====

calculated formation energy of number 1 (Li3CoNi)? 0.929 eV per atom

=====

Which of these has the highest calculated formation energy? Li3CoNi

=====

What is the calculated formation energy in the third record? 0.139 eV per atom